[1]
The following is a DFT calculation (PBE) of an optimized crystal structure of CsLuW.

Values from the calculation:
ρ = 9.186 g/cm3
E = -42.634 eV per cell
total magnetic moment = 2.14 μB/f.u.
distance to the lowest polymorph of the same formula = 0.803 eV/f.u.
V = 356 Å³/cell

Cell: 7.084 7.084 7.084 Å, 90.00 90.00 90.00°
Space group F-43m (No. 216)
Inequivalent atoms, fractional coordinates:
Cs: 0.000 0.000 0.000 [4 per cell]
Lu: 0.250 0.250 0.750 [4 per cell]
W: 0.250 0.250 0.250 [4 per cell]


[2]
The following is a DFT calculation (PBE) of an optimized crystal structure of CsLuW.

Values from the calculation:
ρ = 8.551 g/cm3
E = -45.844 eV per cell
total magnetic moment = 3.21 μB/f.u.
distance to the lowest polymorph of the same formula = 0.000 eV/f.u.
V = 382 Å³/cell

Cell: 7.255 7.255 7.255 Å, 90.00 90.00 90.00°
Space group F-43m (No. 216)
Inequivalent atoms, fractional coordinates:
Cs: 0.000 0.000 0.000 [4 per cell]
Lu: 0.250 0.250 0.250 [4 per cell]
W: 0.000 0.000 0.500 [4 per cell]


[3]
The following is a DFT calculation (PBE) of an optimized crystal structure of CsLuZn.

Values from the calculation:
ρ = 4.821 g/cm3
E = -12.978 eV per cell
total magnetic moment = 0.03 μB/f.u.
distance to the lowest polymorph of the same formula = 0.794 eV/f.u.
V = 514 Å³/cell

Cell: 8.012 8.012 8.012 Å, 90.00 90.00 90.00°
Space group F-43m (No. 216)
Inequivalent atoms, fractional coordinates:
Cs: 0.000 0.000 0.000 [4 per cell]
Lu: 0.250 0.250 0.750 [4 per cell]
Zn: 0.250 0.250 0.250 [4 per cell]


[4]
The following is a DFT calculation (PBE) of an optimized crystal structure of CsLuZn.

Values from the calculation:
ρ = 5.507 g/cm3
E = -16.153 eV per cell
total magnetic moment = 0.02 μB/f.u.
distance to the lowest polymorph of the same formula = 0.000 eV/f.u.
V = 450 Å³/cell

Cell: 7.664 7.664 7.664 Å, 90.00 90.00 90.00°
Space group F-43m (No. 216)
Inequivalent atoms, fractional coordinates:
Cs: 0.000 0.000 0.000 [4 per cell]
Lu: 0.250 0.250 0.250 [4 per cell]
Zn: 0.000 0.000 0.500 [4 per cell]


[5]
The following is a DFT calculation (PBE) of an optimized crystal structure of CsMgNbNi.

Values from the calculation:
ρ = 6.133 g/cm3
E = -52.042 eV per cell
total magnetic moment = 0.01 μB/f.u.
distance to the lowest polymorph of the same formula = 0.000 eV/f.u.
V = 334 Å³/cell

Cell: 6.941 6.941 6.941 Å, 90.00 90.00 90.00°
Space group F-43m (No. 216)
Inequivalent atoms, fractional coordinates:
Cs: 0.000 0.000 0.000 [4 per cell]
Mg: 0.250 0.250 0.250 [4 per cell]
Nb: 0.250 0.250 0.750 [4 per cell]
Ni: 0.000 0.000 0.500 [4 per cell]


[6]
The following is a DFT calculation (PBE) of an optimized crystal structure of CsMgNbNi.

Values from the calculation:
ρ = 5.813 g/cm3
E = -49.417 eV per cell
total magnetic moment = 2.36 μB/f.u.
distance to the lowest polymorph of the same formula = 0.656 eV/f.u.
V = 353 Å³/cell

Cell: 7.066 7.066 7.066 Å, 90.00 90.00 90.00°
Space group F-43m (No. 216)
Inequivalent atoms, fractional coordinates:
Cs: 0.000 0.000 0.000 [4 per cell]
Mg: 0.000 0.000 0.500 [4 per cell]
Nb: 0.250 0.250 0.250 [4 per cell]
Ni: 0.250 0.250 0.750 [4 per cell]


[7]
The following is a DFT calculation (PBE) of an optimized crystal structure of CsMgNbPt.

Values from the calculation:
ρ = 8.712 g/cm3
E = -61.586 eV per cell
total magnetic moment = 0.00 μB/f.u.
distance to the lowest polymorph of the same formula = 0.000 eV/f.u.
V = 339 Å³/cell

Cell: 6.976 6.976 6.976 Å, 90.00 90.00 90.00°
Space group F-43m (No. 216)
Inequivalent atoms, fractional coordinates:
Cs: 0.000 0.000 0.000 [4 per cell]
Mg: 0.250 0.250 0.250 [4 per cell]
Nb: 0.250 0.250 0.750 [4 per cell]
Pt: 0.000 0.000 0.500 [4 per cell]


[8]
The following is a DFT calculation (PBE) of an optimized crystal structure of CsMgNbPt.

Values from the calculation:
ρ = 7.817 g/cm3
E = -56.520 eV per cell
total magnetic moment = 3.27 μB/f.u.
distance to the lowest polymorph of the same formula = 1.267 eV/f.u.
V = 378 Å³/cell

Cell: 7.232 7.232 7.232 Å, 90.00 90.00 90.00°
Space group F-43m (No. 216)
Inequivalent atoms, fractional coordinates:
Cs: 0.000 0.000 0.000 [4 per cell]
Mg: 0.000 0.000 0.500 [4 per cell]
Nb: 0.250 0.250 0.250 [4 per cell]
Pt: 0.250 0.250 0.750 [4 per cell]


[9]
The following is a DFT calculation (PBE) of an optimized crystal structure of CsMgNbPt.

Values from the calculation:
ρ = 7.416 g/cm3
E = -57.240 eV per cell
total magnetic moment = 3.26 μB/f.u.
distance to the lowest polymorph of the same formula = 1.087 eV/f.u.
V = 399 Å³/cell

Cell: 7.360 7.360 7.360 Å, 90.00 90.00 90.00°
Space group F-43m (No. 216)
Inequivalent atoms, fractional coordinates:
Cs: 0.000 0.000 0.000 [4 per cell]
Mg: 0.250 0.250 0.750 [4 per cell]
Nb: 0.000 0.000 0.500 [4 per cell]
Pt: 0.250 0.250 0.250 [4 per cell]


[10]
The following is a DFT calculation (PBE) of an optimized crystal structure of Cs2MgNiP2.

Values from the calculation:
ρ = 3.261 g/cm3
E = -21.831 eV per cell
total magnetic moment = 0.02 μB/f.u.
V = 209 Å³/cell

Cell: 4.236 4.236 11.656 Å, 90.00 90.00 90.00°
Space group P-4m2 (No. 115)
Inequivalent atoms, fractional coordinates:
Cs: 0.000 0.500 0.232 [2 per cell]
Mg: 0.500 0.500 0.500 [1 per cell]
Ni: 0.000 0.000 0.500 [1 per cell]
P: 0.000 0.500 0.604 [2 per cell]


[11]
The following is a DFT calculation (PBE) of an optimized crystal structure of CsMgTaNi.

Values from the calculation:
ρ = 7.015 g/cm3
E = -54.962 eV per cell
total magnetic moment = 1.79 μB/f.u.
distance to the lowest polymorph of the same formula = 0.641 eV/f.u.
V = 376 Å³/cell

Cell: 7.216 7.216 7.216 Å, 90.00 90.00 90.00°
Space group F-43m (No. 216)
Inequivalent atoms, fractional coordinates:
Cs: 0.000 0.000 0.000 [4 per cell]
Mg: 0.250 0.250 0.750 [4 per cell]
Ta: 0.000 0.000 0.500 [4 per cell]
Ni: 0.250 0.250 0.250 [4 per cell]


[12]
The following is a DFT calculation (PBE) of an optimized crystal structure of CsMgTaNi.

Values from the calculation:
ρ = 7.708 g/cm3
E = -53.938 eV per cell
total magnetic moment = 0.02 μB/f.u.
distance to the lowest polymorph of the same formula = 0.897 eV/f.u.
V = 342 Å³/cell

Cell: 6.993 6.993 6.993 Å, 90.00 90.00 90.00°
Space group F-43m (No. 216)
Inequivalent atoms, fractional coordinates:
Cs: 0.000 0.000 0.000 [4 per cell]
Mg: 0.000 0.000 0.500 [4 per cell]
Ta: 0.250 0.250 0.250 [4 per cell]
Ni: 0.250 0.250 0.750 [4 per cell]


[13]
The following is a DFT calculation (PBE) of an optimized crystal structure of CsMgTaNi.

Values from the calculation:
ρ = 7.926 g/cm3
E = -57.528 eV per cell
total magnetic moment = 0.01 μB/f.u.
distance to the lowest polymorph of the same formula = 0.000 eV/f.u.
V = 333 Å³/cell

Cell: 6.928 6.928 6.928 Å, 90.00 90.00 90.00°
Space group F-43m (No. 216)
Inequivalent atoms, fractional coordinates:
Cs: 0.000 0.000 0.000 [4 per cell]
Mg: 0.250 0.250 0.250 [4 per cell]
Ta: 0.250 0.250 0.750 [4 per cell]
Ni: 0.000 0.000 0.500 [4 per cell]


[14]
The following is a DFT calculation (PBE) of an optimized crystal structure of CsMgNpTe3.

Values from the calculation:
ρ = 5.386 g/cm3
E = -120.496 eV per cell
total magnetic moment = 4.01 μB/f.u.
V = 958 Å³/cell

Cell: 4.620 17.204 12.055 Å, 90.00 90.00 90.00°
Space group Cmcm (No. 63)
Inequivalent atoms, fractional coordinates:
Cs: 0.000 0.244 0.250 [4 per cell]
Mg: 0.000 0.038 0.750 [4 per cell]
Np: 0.000 0.500 0.000 [4 per cell]
Te: 0.000 0.121 0.553 [8 per cell]
Te: 0.000 0.441 0.750 [4 per cell]


[15]
The following is a DFT calculation (PBE) of an optimized crystal structure of Cs2MgOsO6.

Values from the calculation:
ρ = 6.881 g/cm3
E = -234.035 eV per cell
total magnetic moment = 0.00 μB/f.u.
V = 556 Å³/cell

Cell: 8.225 8.225 8.225 Å, 90.00 90.00 90.00°
Space group Fm-3m (No. 225)
Inequivalent atoms, fractional coordinates:
Cs: 0.250 0.250 0.250 [8 per cell]
Mg: 0.000 0.000 0.000 [4 per cell]
Os: 0.000 0.000 0.500 [4 per cell]
O: 0.000 0.000 0.270 [24 per cell]


[16]
The following is a DFT calculation (PBE) of an optimized crystal structure of CsMgReOs.

Values from the calculation:
ρ = 11.050 g/cm3
E = -73.162 eV per cell
total magnetic moment = 1.79 μB/f.u.
distance to the lowest polymorph of the same formula = 0.645 eV/f.u.
V = 321 Å³/cell

Cell: 6.845 6.845 6.845 Å, 90.00 90.00 90.00°
Space group F-43m (No. 216)
Inequivalent atoms, fractional coordinates:
Cs: 0.000 0.000 0.000 [4 per cell]
Mg: 0.250 0.250 0.250 [4 per cell]
Re: 0.000 0.000 0.500 [4 per cell]
Os: 0.250 0.250 0.750 [4 per cell]


[17]
The following is a DFT calculation (PBE) of an optimized crystal structure of CsMgReOs.

Values from the calculation:
ρ = 11.805 g/cm3
E = -70.239 eV per cell
total magnetic moment = 0.34 μB/f.u.
distance to the lowest polymorph of the same formula = 1.375 eV/f.u.
V = 300 Å³/cell

Cell: 6.696 6.696 6.696 Å, 90.00 90.00 90.00°
Space group F-43m (No. 216)
Inequivalent atoms, fractional coordinates:
Cs: 0.000 0.000 0.000 [4 per cell]
Mg: 0.000 0.000 0.500 [4 per cell]
Re: 0.250 0.250 0.750 [4 per cell]
Os: 0.250 0.250 0.250 [4 per cell]


[18]
The following is a DFT calculation (PBE) of an optimized crystal structure of CsMgReOs.

Values from the calculation:
ρ = 11.294 g/cm3
E = -75.740 eV per cell
total magnetic moment = 0.00 μB/f.u.
distance to the lowest polymorph of the same formula = 0.000 eV/f.u.
V = 314 Å³/cell

Cell: 6.796 6.796 6.796 Å, 90.00 90.00 90.00°
Space group F-43m (No. 216)
Inequivalent atoms, fractional coordinates:
Cs: 0.000 0.000 0.000 [4 per cell]
Mg: 0.250 0.250 0.750 [4 per cell]
Re: 0.250 0.250 0.250 [4 per cell]
Os: 0.000 0.000 0.500 [4 per cell]


[19]
The following is a DFT calculation (PBE) of an optimized crystal structure of CsMgTcOs.

Values from the calculation:
ρ = 8.871 g/cm3
E = -68.054 eV per cell
total magnetic moment = 3.08 μB/f.u.
distance to the lowest polymorph of the same formula = 0.483 eV/f.u.
V = 334 Å³/cell

Cell: 6.935 6.935 6.935 Å, 90.00 90.00 90.00°
Space group F-43m (No. 216)
Inequivalent atoms, fractional coordinates:
Cs: 0.000 0.000 0.000 [4 per cell]
Mg: 0.250 0.250 0.250 [4 per cell]
Tc: 0.000 0.000 0.500 [4 per cell]
Os: 0.250 0.250 0.750 [4 per cell]


[20]
The following is a DFT calculation (PBE) of an optimized crystal structure of CsMgTcOs.

Values from the calculation:
ρ = 9.830 g/cm3
E = -66.326 eV per cell
total magnetic moment = 0.78 μB/f.u.
distance to the lowest polymorph of the same formula = 0.915 eV/f.u.
V = 301 Å³/cell

Cell: 6.702 6.702 6.702 Å, 90.00 90.00 90.00°
Space group F-43m (No. 216)
Inequivalent atoms, fractional coordinates:
Cs: 0.000 0.000 0.000 [4 per cell]
Mg: 0.000 0.000 0.500 [4 per cell]
Tc: 0.250 0.250 0.750 [4 per cell]
Os: 0.250 0.250 0.250 [4 per cell]